1.
# Sm4SnBr5 (PBE-GGA, relaxed)
data_Sm4SnBr5
_cell_length_a 18.480
_cell_length_b 4.215
_cell_length_c 8.787
_cell_angle_alpha 90.00
_cell_angle_beta 101.09
_cell_angle_gamma 90.00
_symmetry_space_group_name_H-M 'C 1 2/m 1'
_symmetry_Int_Tables_number 12
loop_
_symmetry_equiv_pos_as_xyz
'x,y,z'
'-x,-y,-z'
'-x,y,-z'
'x,-y,z'
'x+1/2,y+1/2,z'
'-x+1/2,-y+1/2,-z'
'-x+1/2,y+1/2,-z'
'x+1/2,-y+1/2,z'
loop_
_atom_site_label
_atom_site_type_symbol
_atom_site_fract_x
_atom_site_fract_y
_atom_site_fract_z
_atom_site_occupancy
Sm1 Sm 0.002 0.000 0.240 1
Sm2 Sm 0.162 0.500 0.072 1
Sn1 Sn 0.000 0.500 0.000 1
Br1 Br 0.000 0.500 0.500 1
Br2 Br 0.168 0.000 0.316 1
Br3 Br 0.170 0.000 0.826 1
# DFT total energy ... -4.52 eV per atom

***

2.
# Mg2MnFe (PBE-GGA, relaxed)
data_Mg2MnFe
_cell_length_a 3.994
_cell_length_b 3.994
_cell_length_c 7.937
_cell_angle_alpha 90.00
_cell_angle_beta 90.00
_cell_angle_gamma 90.00
_symmetry_space_group_name_H-M 'I 4/m m m'
_symmetry_Int_Tables_number 139
_symmetry_space_group_name_Hall '-I 4 2'
loop_
_atom_site_label
_atom_site_type_symbol
_atom_site_fract_x
_atom_site_fract_y
_atom_site_fract_z
_atom_site_occupancy
Mg1 Mg 0.000 0.500 0.250 1
Mn1 Mn 0.000 0.000 0.000 1
Fe1 Fe 0.000 0.000 0.500 1
# DFT total energy ... -4.92 eV per atom
# Formation enthalpy at 0 K ... 27.3 kJ/mol of atoms

***

3.
# BeAg2Te (PBE-GGA, relaxed)
data_BeAg2Te
_cell_length_a 3.969
_cell_length_b 3.969
_cell_length_c 9.553
_cell_angle_alpha 90.00
_cell_angle_beta 90.00
_cell_angle_gamma 90.00
_symmetry_space_group_name_H-M 'I 4/m m m'
_symmetry_Int_Tables_number 139
_symmetry_space_group_name_Hall '-I 4 2'
loop_
_atom_site_label
_atom_site_type_symbol
_atom_site_fract_x
_atom_site_fract_y
_atom_site_fract_z
_atom_site_occupancy
Be1 Be 0.000 0.000 0.000 1
Ag1 Ag 0.000 0.500 0.250 1
Te1 Te 0.000 0.000 0.500 1
# DFT total energy ... -2.78 eV per atom

***

4.
# LiPrZnHg (PBE-GGA, relaxed)
data_LiPrZnHg
_cell_length_a 7.161
_cell_length_b 7.161
_cell_length_c 7.161
_cell_angle_alpha 90.00
_cell_angle_beta 90.00
_cell_angle_gamma 90.00
_symmetry_space_group_name_H-M 'F -4 3 m'
_symmetry_Int_Tables_number 216
_symmetry_space_group_name_Hall 'F -4 2 3'
loop_
_atom_site_label
_atom_site_type_symbol
_atom_site_fract_x
_atom_site_fract_y
_atom_site_fract_z
_atom_site_occupancy
Li1 Li 0.000 0.000 0.000 1
Pr1 Pr 0.000 0.000 0.500 1
Zn1 Zn 0.250 0.250 0.750 1
Hg1 Hg 0.250 0.250 0.250 1
# DFT total energy ... -2.41 eV per atom
# Formation enthalpy at 0 K ... -32.9 kJ/mol of atoms

***

no.,Fermi-level density of states (states/eV/cell)
1,8.93
2,7.44
3,1.24
4,13.15